Compound: Tm6InCo2
Source: Alexandria
Functional: PBEsol
Structure: optimized geometry

Lattice parameters (Å, degrees): 8.1178 8.1178 8.1178 73.37 69.73 111.56
Last column: nearest neighbours and their distance in Å.
Positions (direct):
Tm1 0.7876 0.2322 0.9803  1 Co 2.72, 1 In 2.99
Tm2 0.2124 0.7678 0.0197  1 Co 2.72, 1 In 2.99
Tm3 0.2124 0.2322 0.5554  1 Co 2.72, 1 In 2.99
Tm4 0.7876 0.7678 0.4446  1 Co 2.72, 1 In 2.99
Tm5 0.5240 0.7121 0.1882  3 Co 2.83-3.16, 1 In 3.16
Tm6 0.4760 0.2879 0.8118  3 Co 2.83-3.16, 1 In 3.16
Tm7 0.0997 0.2879 0.1882  3 Co 2.83-3.16, 1 In 3.16
Tm8 0.9003 0.7121 0.8118  3 Co 2.83-3.16, 1 In 3.16
Tm9 0.6980 0.0125 0.6854  3 Co 2.66-2.79
Tm10 0.3020 0.9875 0.3146  3 Co 2.66-2.79
Tm11 0.3020 0.6166 0.6854  3 Co 2.66-2.79
Tm12 0.6980 0.3834 0.3146  3 Co 2.66-2.79
In1 0.0000 0.5000 0.5000  12 Tm 3.26-3.48
In2 0.0000 0.0000 0.0000  8 Tm 2.99-3.16
Co1 0.6233 0.0000 0.3767  1 Co 2.29
Co2 0.3767 0.0000 0.6233  1 Co 2.29
Co3 0.5000 0.6131 0.8869  1 Co 2.19
Co4 0.5000 0.3869 0.1131  1 Co 2.19

## Properties
Space group: Immm
VASP energy in eV/atom: -5.629


Compound: LiZr2Os
Source: Alexandria
Functional: PBEsol
Structure: optimized geometry

Lattice parameters (Å, degrees): 3.2545 4.6055 4.6055 90.00 90.00 90.00
Last column: nearest neighbours and their distance in Å.
Positions (direct):
Os1 0.5000 0.5000 0.5000  8 Zr 2.82
Zr1 0.0000 0.0000 0.5000  4 Li 2.82, 4 Os 2.82
Zr2 0.0000 0.5000 0.0000  4 Li 2.82, 4 Os 2.82
Li1 0.5000 0.0000 0.0000  8 Zr 2.82

## Properties
Distance to the lowest polymorph of the same formula in meV/atom: 80
Space group: P4/mmm


Compound: KYSb2
Source: Alexandria
Functional: PBEsol
Structure: optimized geometry

Lattice parameters (Å, degrees): 3.3027 4.1539 8.6759 90.00 90.00 90.00
Last column: nearest neighbours and their distance in Å.
Positions (direct):
K1 0.5000 0.5000 0.0000  2 K 3.30, 8 Sb 3.65
Sb1 0.0000 0.0000 0.2881  4 Y 3.23, 2 Sb 3.30
Sb2 0.0000 0.0000 0.7119  4 Y 3.23, 2 Sb 3.30
Y1 0.5000 0.5000 0.5000  8 Sb 3.23, 2 Y 3.30

## Properties
Space group: Pmmm
Uncorrected formation energy in eV/atom: -0.678


Compound: Ba2NiPdW
Source: Alexandria
Functional: PBEsol
Structure: optimized geometry

Lattice parameters (Å, degrees): 4.5946 5.8988 5.8988 90.00 90.00 90.00
Last column: nearest neighbours and their distance in Å.
Positions (direct):
Ni1 0.5000 0.0000 0.0000  2 Pd 2.30
Pd1 0.0000 0.0000 0.0000  2 Ni 2.30
Ba1 0.0000 0.0000 0.5000  2 Pd 2.95
Ba2 0.0000 0.5000 0.0000  2 Pd 2.95
W1 0.5000 0.5000 0.5000  8 Ba 3.74, 4 Ni 4.17

## Properties
Space group: P4/mmm
VASP energy in eV/atom: -4.756


Number 1: density of states at the Fermi level 13.29 states/eV per cell. Number 2: density of states at the Fermi level 3.12 states/eV per cell. Number 3: density of states at the Fermi level 2.15 states/eV per cell. Number 4: density of states at the Fermi level 3.40 states/eV per cell.